Record 1
KLiTeCl6 after structural relaxation, computed with PBE.

Summary:
**ΔE_f (raw)**: -10.75 eV per formula unit
**Volume**: 274.9 Å³/cell
**Raw total energy**: -3.110 eV per atom

Structure (POSCAR):
```
KLiTeCl6
1.0
6.7332 0.0000 0.0000
-3.3666 5.8312 0.0000
0.0000 0.0000 7.0010
K Li Te Cl
1 1 1 6
Direct
0.0000 0.0000 0.0000 K
0.3333 0.6667 0.5000 Li
0.6667 0.3333 0.5000 Te
0.3721 0.0038 0.7103 Cl
0.3721 0.3683 0.2897 Cl
0.6317 0.0038 0.2897 Cl
0.6317 0.6279 0.7103 Cl
0.9962 0.3683 0.7103 Cl
0.9962 0.6279 0.2897 Cl
```

***

Record 2
Ba8LiAg2Ir after structural relaxation, computed with PBE.

Summary:
**Calculated formation energy**: -0.091 eV per atom
**Volume**: 610.1 Å³/cell
**Raw total energy**: -2.746 eV per atom

Structure (POSCAR):
```
Ba8LiAg2Ir
1.0
7.7686 0.0000 0.0000
0.0000 9.8164 0.0000
-0.0792 0.0000 8.0004
Ba Li Ag Ir
8 1 2 1
Direct
0.2319 0.0000 0.3509 Ba
0.2609 0.5000 0.3104 Ba
0.2685 0.2790 0.8377 Ba
0.2685 0.7210 0.8377 Ba
0.7315 0.2790 0.1623 Ba
0.7315 0.7210 0.1623 Ba
0.7391 0.5000 0.6896 Ba
0.7681 0.0000 0.6491 Ba
0.5000 0.0000 0.0000 Li
0.0000 0.2628 0.5000 Ag
0.0000 0.7372 0.5000 Ag
0.5000 0.5000 0.0000 Ir
```

***

Record 3
Ba2ScCl after structural relaxation, computed with PBE.

Summary:
**Offset from the most stable computed form**: 269.2 meV per atom
**ΔE_f (raw)**: -1.38 eV per formula unit
**Volume**: 359.3 Å³/cell
**Raw total energy**: -3.351 eV per atom

Structure (POSCAR):
```
Ba2ScCl
1.0
-4.6400 4.6400 4.1717
4.6400 -4.6400 4.1717
4.6400 4.6400 -4.1717
Ba Sc Cl
4 2 2
Direct
0.0607 0.1250 0.4357 Ba
0.3750 0.9393 0.0643 Ba
0.6893 0.6250 0.5643 Ba
0.8750 0.3107 0.9357 Ba
0.2500 0.7500 0.5000 Sc
0.5000 0.5000 0.0000 Sc
0.0000 0.0000 0.0000 Cl
0.7500 0.2500 0.5000 Cl
```